No. 1
The following is a DFT calculation (PBE) of an optimized crystal structure of Li5AgAu6.

Results
Energy relative to the elements ... -0.453 eV/atom
Crystal system ... triclinic

Lattice parameters (Å, degrees): 4.838 5.646 7.762 68.97 78.30 89.96
Element x y z (fractional)
Li 0.000 0.000 0.000
Li 0.275 0.336 0.326
Li 0.278 0.836 0.328
Li 0.722 0.164 0.672
Li 0.725 0.664 0.674
Ag 0.000 0.500 0.000
Au 0.228 0.423 0.651
Au 0.229 0.926 0.652
Au 0.500 0.244 0.000
Au 0.500 0.756 0.000
Au 0.771 0.074 0.348
Au 0.772 0.577 0.349



No. 2
The following is a DFT calculation (PBE) of an optimized crystal structure of Li7AgAu4.

Results
Energy relative to the elements ... -0.433 eV/atom
Crystal system ... triclinic

Lattice parameters (Å, degrees): 4.944 5.607 7.428 76.38 72.84 89.30
Element x y z (fractional)
Li 0.000 0.000 0.000
Li 0.163 0.425 0.346
Li 0.335 0.831 0.651
Li 0.500 0.247 0.991
Li 0.500 0.753 0.009
Li 0.665 0.169 0.349
Li 0.837 0.575 0.654
Ag 0.000 0.500 0.000
Au 0.175 0.947 0.316
Au 0.328 0.331 0.676
Au 0.672 0.669 0.324
Au 0.825 0.053 0.684



No. 3
The following is a DFT calculation (PBE) of an optimized crystal structure of Li7Ag3Au2.

Results
Energy relative to the elements ... -0.238 eV/atom
Crystal system ... monoclinic

Lattice parameters (Å, degrees): 4.649 2.849 15.681 90.00 98.29 90.00
Element x y z (fractional)
Li 0.000 0.000 0.000
Li 0.108 0.500 0.215
Li 0.272 0.500 0.544
Li 0.427 0.000 0.855
Li 0.573 0.000 0.145
Li 0.728 0.500 0.456
Li 0.892 0.500 0.785
Ag 0.191 0.000 0.382
Ag 0.500 0.500 0.000
Ag 0.809 0.000 0.618
Au 0.356 0.500 0.711
Au 0.644 0.500 0.289



No. 4
The following is a DFT calculation (PBE) of an optimized crystal structure of Li5Ag4Au2.

Results
Energy relative to the elements ... -0.246 eV/atom
Crystal system ... orthorhombic

Lattice parameters (Å, degrees): 7.174 7.174 7.174 144.76 116.56 74.70
Element x y z (fractional)
Li 0.000 0.000 0.000
Li 0.076 0.245 0.831
Li 0.414 0.245 0.169
Li 0.586 0.755 0.831
Li 0.924 0.755 0.169
Ag 0.312 0.500 0.812
Ag 0.379 0.879 0.500
Ag 0.621 0.121 0.500
Ag 0.688 0.500 0.188
Au 0.138 0.638 0.500
Au 0.862 0.362 0.500



No. 5
The following is a DFT calculation (PBE) of an optimized crystal structure of Li7Ag2Au.

Results
Energy relative to the elements ... -0.182 eV/atom
Crystal system ... trigonal

Lattice parameters (Å, degrees): 4.475 4.475 9.939 90.00 90.00 120.00
Element x y z (fractional)
Li 0.000 0.000 0.000
Li 0.000 0.000 0.241
Li 0.000 0.000 0.747
Li 0.333 0.667 0.391
Li 0.333 0.667 0.820
Li 0.667 0.333 0.187
Li 0.667 0.333 0.594
Ag 0.000 0.000 0.493
Ag 0.667 0.333 0.904
Au 0.333 0.667 0.102



No. 6
The following is a DFT calculation (PBE) of an optimized crystal structure of Li2Ag3Au6.

Results
Energy relative to the elements ... -0.012 eV/atom
Crystal system ... tetragonal

Lattice parameters (Å, degrees): 12.861 12.861 12.861 162.12 162.12 25.39
Element x y z (fractional)
Li 0.045 0.045 0.000
Li 0.955 0.955 0.000
Ag 0.302 0.302 0.000
Ag 0.500 0.500 0.000
Ag 0.698 0.698 0.000
Au 0.106 0.606 0.500
Au 0.194 0.194 0.000
Au 0.394 0.894 0.500
Au 0.606 0.106 0.500
Au 0.806 0.806 0.000
Au 0.894 0.394 0.500



No. 7
The following is a DFT calculation (PBE) of an optimized crystal structure of LiAg3Au2.

Results
Energy relative to the elements ... -0.142 eV/atom
Crystal system ... monoclinic

Lattice parameters (Å, degrees): 8.594 8.594 9.420 121.70 121.70 20.73
Element x y z (fractional)
Li 0.097 0.097 0.203
Li 0.903 0.903 0.797
Ag 0.100 0.100 0.717
Ag 0.240 0.240 0.613
Ag 0.430 0.430 0.570
Ag 0.570 0.570 0.430
Ag 0.760 0.760 0.387
Ag 0.900 0.900 0.283
Au 0.229 0.229 0.107
Au 0.443 0.443 0.068
Au 0.557 0.557 0.932
Au 0.771 0.771 0.893



No. 8
The following is a DFT calculation (PBE) of an optimized crystal structure of Li6AgAu5.

Results
Energy relative to the elements ... -0.495 eV/atom
Crystal system ... monoclinic

Lattice parameters (Å, degrees): 4.362 6.457 6.886 90.00 108.10 90.00
Element x y z (fractional)
Li 0.000 0.244 0.000
Li 0.000 0.756 0.000
Li 0.331 0.246 0.662
Li 0.331 0.754 0.662
Li 0.669 0.246 0.338
Li 0.669 0.754 0.338
Ag 0.500 0.500 0.000
Au 0.164 0.500 0.329
Au 0.166 0.000 0.331
Au 0.500 0.000 0.000
Au 0.834 0.000 0.669
Au 0.836 0.500 0.671



No. 9
The following is a DFT calculation (PBE) of an optimized crystal structure of Li8Ag2Au.

Results
Energy relative to the elements ... -0.169 eV/atom
Crystal system ... monoclinic

Lattice parameters (Å, degrees): 7.285 7.285 4.645 102.14 102.14 119.53
Element x y z (fractional)
Li 0.089 0.313 0.621
Li 0.211 0.789 0.000
Li 0.313 0.089 0.621
Li 0.381 0.381 0.194
Li 0.619 0.619 0.806
Li 0.687 0.911 0.379
Li 0.789 0.211 0.000
Li 0.911 0.687 0.379
Ag 0.310 0.690 0.500
Ag 0.690 0.310 0.500
Au 0.000 0.000 0.000



No. 10
The following is a DFT calculation (PBE) of an optimized crystal structure of Li2Ag8Au3.

Results
Energy relative to the elements ... 0.072 eV/atom
Crystal system ... trigonal

Lattice parameters (Å, degrees): 10.422 10.422 10.422 29.97 29.97 29.97
Element x y z (fractional)
Li 0.140 0.140 0.140
Li 0.860 0.860 0.860
Ag 0.224 0.224 0.224
Ag 0.232 0.232 0.732
Ag 0.232 0.732 0.232
Ag 0.268 0.768 0.768
Ag 0.732 0.232 0.232
Ag 0.768 0.268 0.768
Ag 0.768 0.768 0.268
Ag 0.776 0.776 0.776
Au 0.317 0.317 0.317
Au 0.500 0.500 0.500
Au 0.683 0.683 0.683



No. 11
The following is a DFT calculation (PBE) of an optimized crystal structure of LiAgAu.

Results
Energy relative to the elements ... -0.215 eV/atom
Crystal system ... trigonal

Lattice parameters (Å, degrees): 2.916 2.916 6.843 90.00 90.00 120.00
Element x y z (fractional)
Li 0.000 0.000 0.000
Ag 0.667 0.333 0.325
Au 0.333 0.667 0.692



No. 12
The following is a DFT calculation (PBE) of an optimized crystal structure of LiAg2Au.

Results
Energy relative to the elements ... -0.182 eV/atom
Crystal system ... orthorhombic

Lattice parameters (Å, degrees): 5.769 8.188 2.916 90.00 90.00 90.00
Element x y z (fractional)
Li 0.000 0.000 0.000
Li 0.500 0.500 0.000
Ag 0.250 0.250 0.500
Ag 0.250 0.750 0.500
Ag 0.750 0.250 0.500
Ag 0.750 0.750 0.500
Au 0.000 0.500 0.000
Au 0.500 0.000 0.000